No. 1
Sr2LaTl5 PBE-GGA optimized geometry; symmetry = I4/mmm (139); VASP energy = -22.850 eV/f.u.
1.0
-2.8657 2.8657 7.8719
2.8657 -2.8657 7.8719
2.8657 2.8657 -7.8719
Sr La Tl
2 1 5
direct
0.2391 0.2391 0.0000 Sr
0.7609 0.7609 0.0000 Sr
0.5000 0.5000 0.0000 La
0.0000 0.0000 0.0000 Tl
0.1153 0.6153 0.5000 Tl
0.3847 0.8847 0.5000 Tl
0.6153 0.1153 0.5000 Tl
0.8847 0.3847 0.5000 Tl

No. 2
SrLa6Tl5 PBE-GGA optimized geometry; symmetry = Immm (71); VASP energy = -46.913 eV/f.u.
1.0
-2.9006 3.8545 8.8032
2.9006 -3.8545 8.8032
2.9006 3.8545 -8.8032
Sr La Tl
1 6 5
direct
0.0000 0.0000 0.0000 Sr
0.0801 0.8210 0.2592 La
0.2849 0.5000 0.7849 La
0.4382 0.1790 0.2592 La
0.5618 0.8210 0.7408 La
0.7151 0.5000 0.2151 La
0.9199 0.1790 0.7408 La
0.1443 0.6443 0.5000 Tl
0.3302 0.3302 0.0000 Tl
0.5000 0.0000 0.5000 Tl
0.6698 0.6698 0.0000 Tl
0.8557 0.3557 0.5000 Tl

No. 3
SrLaTl3 PBE-GGA optimized geometry; symmetry = Pm-3m (221); VASP energy = -11.717 eV/f.u.; polymorph energy (0 for the lowest one) = 193 meV/atom
1.0
5.8136 0.0000 0.0000
0.0000 5.8136 0.0000
0.0000 0.0000 5.8136
Sr La Tl
1 1 3
direct
0.0000 0.0000 0.0000 Sr
0.5000 0.5000 0.5000 La
0.0000 0.0000 0.5000 Tl
0.0000 0.5000 0.0000 Tl
0.5000 0.0000 0.0000 Tl

No. 4
Sr4LaTl5 PBE-GGA optimized geometry; symmetry = P4/mmm (123); VASP energy = -27.735 eV/f.u.
1.0
4.0667 0.0000 0.0000
0.0000 4.0667 0.0000
0.0000 0.0000 20.4370
Sr La Tl
4 1 5
direct
0.0000 0.0000 0.1008 Sr
0.0000 0.0000 0.3016 Sr
0.0000 0.0000 0.6984 Sr
0.0000 0.0000 0.8992 Sr
0.0000 0.0000 0.5000 La
0.5000 0.5000 0.0000 Tl
0.5000 0.5000 0.2005 Tl
0.5000 0.5000 0.4053 Tl
0.5000 0.5000 0.5947 Tl
0.5000 0.5000 0.7995 Tl

No. 5
SrLa5Tl4 PBE-GGA optimized geometry; symmetry = P4/mmm (123); VASP energy = -38.740 eV/f.u.
1.0
3.9440 0.0000 0.0000
0.0000 3.9440 0.0000
0.0000 0.0000 22.2279
Sr La Tl
1 5 4
direct
0.0000 0.0000 0.0000 Sr
0.5000 0.5000 0.1374 La
0.5000 0.5000 0.3176 La
0.5000 0.5000 0.5000 La
0.5000 0.5000 0.6824 La
0.5000 0.5000 0.8626 La
0.0000 0.0000 0.2238 Tl
0.0000 0.0000 0.4086 Tl
0.0000 0.0000 0.5914 Tl
0.0000 0.0000 0.7762 Tl

No. 6
SrLa4Tl5 PBE-GGA optimized geometry; symmetry = P4/mmm (123); VASP energy = -37.431 eV/f.u.
1.0
3.9869 0.0000 0.0000
0.0000 3.9869 0.0000
0.0000 0.0000 20.2309
Sr La Tl
1 4 5
direct
0.0000 0.0000 0.0000 Sr
0.0000 0.0000 0.2018 La
0.0000 0.0000 0.4016 La
0.0000 0.0000 0.5984 La
0.0000 0.0000 0.7982 La
0.5000 0.5000 0.1060 Tl
0.5000 0.5000 0.3043 Tl
0.5000 0.5000 0.5000 Tl
0.5000 0.5000 0.6957 Tl
0.5000 0.5000 0.8940 Tl

No. 7
Sr2LaTl2 PBE-GGA optimized geometry; symmetry = P4/mbm (127); VASP energy = -14.395 eV/f.u.; polymorph energy (0 for the lowest one) = 0 meV/atom
1.0
9.1744 0.0000 0.0000
0.0000 9.1744 0.0000
0.0000 0.0000 4.3735
Sr La Tl
4 2 4
direct
0.1623 0.3377 0.0000 Sr
0.3377 0.8377 0.0000 Sr
0.6623 0.1623 0.0000 Sr
0.8377 0.6623 0.0000 Sr
0.0000 0.0000 0.5000 La
0.5000 0.5000 0.5000 La
0.1361 0.6361 0.5000 Tl
0.3639 0.1361 0.5000 Tl
0.6361 0.8639 0.5000 Tl
0.8639 0.3639 0.5000 Tl

No. 8
SrLa4Tl PBE-GGA optimized geometry; symmetry = F-43m (216); VASP energy = -22.830 eV/f.u.
1.0
0.0000 4.8251 4.8251
4.8251 0.0000 4.8251
4.8251 4.8251 0.0000
Sr La Tl
1 4 1
direct
0.0000 0.0000 0.0000 Sr
0.3785 0.3785 0.3785 La
0.3785 0.3785 0.8644 La
0.3785 0.8644 0.3785 La
0.8644 0.3785 0.3785 La
0.7500 0.7500 0.7500 Tl

What ΔE_f values result from the calculations? In sequence: -0.3409; -0.3196; 0.3982; -0.4249; -0.2956; -0.4208; -0.2743; 0.1546 eV/atom.